# 1
DFT (PBE) results for a relaxed CePu2Mg2Pb2 crystal.

* space-group type: No. 166
* Fermi-level density of states: 14.84 states/eV/f.u.
* size of the total moment: 11.26 μB per formula unit
* total DFT energy (no corrections): -6.07 eV per atom
* energy of formation from the pure elements: 0.39 eV per atom

a = 16.5955 Å, b = 16.5955 Å, c = 16.5955 Å
α = 13.39°, β = 13.39°, γ = 13.39°
Fractional coordinates of all 7 atoms:
Ce 0.0000 0.0000 0.0000
Pu 0.3036 0.3036 0.3036
Pu 0.6964 0.6964 0.6964
Mg 0.0804 0.0804 0.0804
Mg 0.9196 0.9196 0.9196
Pb 0.1419 0.1419 0.1419
Pb 0.8581 0.8581 0.8581

# 2
DFT (PBE) results for a relaxed RbB2P2S6 crystal.

* space-group type: No. 2
* Fermi-level density of states: 2.51 states/eV/f.u.
* size of the total moment: 0.00 μB per formula unit
* formation energy from raw total energies: -2.9 eV/f.u.
* total DFT energy (no corrections): -4.80 eV per atom

a = 5.9209 Å, b = 7.7323 Å, c = 8.2737 Å
α = 62.27°, β = 69.09°, γ = 67.56°
Fractional coordinates of all 11 atoms:
Rb 0.0000 0.0000 0.0000
B 0.4677 0.1817 0.8830
B 0.5323 0.8183 0.1170
P 0.0241 0.3427 0.6090
P 0.9759 0.6573 0.3910
S 0.1824 0.4041 0.7697
S 0.3557 0.5959 0.2303
S 0.3908 0.0649 0.1541
S 0.6092 0.9351 0.8459
S 0.6443 0.4041 0.7697
S 0.8176 0.5959 0.2303

# 3
DFT (PBE) results for a relaxed BaLiSmTl crystal.

* space-group type: No. 216
* Fermi-level density of states: 4.36 states/eV/f.u.
* size of the total moment: 0.00 μB per formula unit
* total DFT energy (no corrections): -2.82 eV per atom
* energy of formation from the pure elements: -0.09 eV per atom

a = 5.7243 Å, b = 5.7243 Å, c = 5.7243 Å
α = 60.00°, β = 60.00°, γ = 60.00°
Fractional coordinates of all 4 atoms:
Ba 0.0000 0.0000 0.0000
Li 0.7500 0.7500 0.7500
Sm 0.5000 0.5000 0.5000
Tl 0.2500 0.2500 0.2500

> Among the records above, which one has the highest size of the total moment?

CePu2Mg2Pb2

> Look up the Fermi-level density of states of the third one.

4.36 states/eV/f.u.

> Among the records above, which one has the lowest Fermi-level density of states?

RbB2P2S6